## Lu2PuRh (PBE)

Data for Lu2PuRh after structural relaxation.

Unit cell a=9.5893 b=9.5893 c=9.5893 alpha=21.57 beta=21.57 gamma=21.57
Atoms (fractional coordinates):
1 Lu 0.2285 0.2285 0.2285
2 Lu 0.7715 0.7715 0.7715
3 Pu 0.0000 0.0000 0.0000
4 Rh 0.5000 0.5000 0.5000

Results
SG: No. 166
Calculated density, g cm⁻³: 11.08
Excess energy over the best structure of this formula in the dataset, meV/atom: 175
Formation enthalpy at 0 K, eV/atom: -0.255